# 1
The following is a DFT calculation (PBE-GGA) of an optimized crystal structure of PmLuOs.

a = 4.7937 Å, b = 4.7937 Å, c = 4.7937 Å
α = 60.00°, β = 60.00°, γ = 60.00°
Atoms (fractional coordinates):
Pm: 0.0000 0.0000 0.0000
Lu: 0.5000 0.5000 0.5000
Os: 0.2500 0.2500 0.2500

Output
Its density of states at the Fermi level is 0.637 states/eV per atom. The electronic total energy comes out at -7.00 eV per atom. Its space group is F-43m (216). For the energy above the most stable polymorph in this dataset, the calculation gives 0.10 eV per formula unit. As for the energy of formation from the pure elements: -0.16 eV/atom. The total magnetic moment comes out at 0.0 μB/f.u.

---

# 2
The following is a DFT calculation (PBE-GGA) of an optimized crystal structure of Tm5Pb4C.

a = 7.3017 Å, b = 7.3017 Å, c = 7.3017 Å
α = 99.92°, β = 99.92°, γ = 130.95°
Atoms (fractional coordinates):
Tm: 0.0000 0.0000 0.0000
Tm: 0.3303 0.6679 0.8824
Tm: 0.4479 0.3303 0.6624
Tm: 0.6679 0.7855 0.3376
Tm: 0.7855 0.4479 0.1176
Pb: 0.0004 0.7278 0.6049
Pb: 0.1229 0.3955 0.3951
Pb: 0.3955 0.0004 0.2726
Pb: 0.7278 0.1229 0.7274
C: 0.6065 0.6065 0.0000

Output
Its density of states at the Fermi level is 0.578 states/eV per atom. The electronic total energy comes out at -4.94 eV per atom. Its space group is I4 (79). As for the energy of formation from the pure elements: -0.30 eV/atom. The total magnetic moment comes out at 0.0 μB/f.u.

---

# 3
The following is a DFT calculation (PBE-GGA) of an optimized crystal structure of Na2PuMnH8.

a = 4.6912 Å, b = 4.6912 Å, c = 6.2082 Å
α = 90.00°, β = 90.00°, γ = 120.00°
Atoms (fractional coordinates):
Na: 0.3333 0.6667 0.3589
Na: 0.6667 0.3333 0.6411
Pu: 0.0000 0.0000 0.0000
Mn: 0.0000 0.0000 0.5000
H: 0.1534 0.3069 0.6739
H: 0.1534 0.8466 0.6739
H: 0.3069 0.1534 0.3261
H: 0.3333 0.6667 0.0089
H: 0.6667 0.3333 0.9911
H: 0.6931 0.8466 0.6739
H: 0.8466 0.1534 0.3261
H: 0.8466 0.6931 0.3261

Output
Its density of states at the Fermi level is 0.868 states/eV per atom. The electronic total energy comes out at -4.47 eV per atom. Its space group is P-3m1 (164). The total magnetic moment comes out at 7.0 μB/f.u.